(1)
A plane-wave DFT calculation with GGA-PBE was carried out for a relaxed structure of Y4Te3N2.

Structure (POSCAR):
```
Y4Te3N2
1.0
8.2879 -2.0047 0.0000
8.2879 2.0047 0.0000
-3.8366 0.0000 7.3199
Y Te N
4 3 2
Cartesian
-0.3136 0.0000 1.8750
3.1924 0.0000 2.7001
9.5468 0.0000 4.6199
13.0527 0.0000 5.4450
2.6273 0.0000 6.8947
6.3696 0.0000 3.6600
10.1119 0.0000 0.4253
1.1021 0.0000 3.4819
11.6371 0.0000 3.8380
```

Computed properties:
Uncorrected formation energy, eV per atom: -1.4747


(2)
A plane-wave DFT calculation with GGA-PBE was carried out for a relaxed structure of Y3TeN.

Structure (POSCAR):
```
Y3TeN
1.0
7.2304 0.0000 0.0000
0.0000 3.9699 0.0000
-0.4343 0.0000 8.7007
Y Te N
6 2 2
Cartesian
0.7173 0.9925 1.3560
1.0714 0.9925 4.7861
2.0982 2.9774 7.7624
4.6979 0.9925 0.9383
5.7248 2.9774 3.9145
6.0788 2.9774 7.3447
2.8061 2.9774 2.5702
3.9900 0.9925 6.1305
0.2294 2.9774 5.5644
6.5668 0.9925 3.1363
```

Computed properties:
Polymorph energy (0 for the lowest one), kJ/mol of atoms: 0.0
Uncorrected formation energy, eV per atom: -1.1059


(3)
A plane-wave DFT calculation with GGA-PBE was carried out for a relaxed structure of Y2TeN.

Structure (POSCAR):
```
Y2TeN
1.0
0.0000 3.4947 3.4947
3.4947 0.0000 3.4947
3.4947 3.4947 0.0000
Y Te N
2 1 1
Cartesian
1.7473 1.7473 1.7473
5.2420 5.2420 5.2420
0.0000 0.0000 0.0000
3.4947 3.4947 3.4947
```

Computed properties:
Polymorph energy (0 for the lowest one), kJ/mol of atoms: 99.2
Uncorrected formation energy, eV per atom: -0.3572


| no. | M_tot (μB per cell) |
| --- | --- |
| 1 | 0.00 |
| 2 | 0.00 |
| 3 | 0.67 |